Run a
Compound: MgIrIO2
Source: Alexandria
Functional: PBE
Structure: relaxed

For the magnetization, the calculation gives 0.05 μB/cell. The density of states at the Fermi level is 0.687 states/eV/atom. The value obtained for the volume is 109.9 Å³ per cell.

Lattice parameters (Å, degrees): 3.8542 3.8542 7.3967 90.00 90.00 90.00
Sites, in units of the cell vectors:
I 0.0000 0.0000 0.5000
Mg 0.5000 0.5000 0.5000
Ir 0.0000 0.0000 0.0000
O 0.0000 0.5000 0.0000
O 0.5000 0.0000 0.0000



Run b
Compound: MgIrIO2
Source: Alexandria
Functional: PBE
Structure: relaxed

For the magnetization, the calculation gives 3.26 μB/cell. The density of states at the Fermi level is 0.819 states/eV/atom. The value obtained for the volume is 93.9 Å³ per cell.

Lattice parameters (Å, degrees): 3.8791 3.8791 6.2430 90.00 90.00 90.00
Sites, in units of the cell vectors:
I 0.0000 0.0000 0.5000
Mg 0.0000 0.0000 0.0000
Ir 0.5000 0.5000 0.5000
O 0.0000 0.5000 0.0000
O 0.5000 0.0000 0.0000



The structure with the least stability is run b.